Entry 1:
# PBE CeHgBi2, relaxed
data_CeHgBi2
_space_group_name_H-M_alt 'P 4/m m m'
_space_group_IT_number 123
_space_group_name_Hall '-P 4 2'
_cell_length_a 4.984
_cell_length_b 4.984
_cell_length_c 4.560
_cell_angle_alpha 90.00
_cell_angle_beta 90.00
_cell_angle_gamma 90.00
loop_
_atom_site_label
_atom_site_type_symbol
_atom_site_fract_x
_atom_site_fract_y
_atom_site_fract_z
Ce1 Ce 0.000 0.000 0.000
Hg1 Hg 0.500 0.500 0.000
Bi1 Bi 0.000 0.500 0.500
# energy of formation	-0.46	eV per atom
# calculated volume	113.3	Å³ per cell

Entry 2:
# PBE V2Pd7Au2, relaxed
data_V2Pd7Au2
_space_group_name_H-M_alt 'C 1 2/m 1'
_space_group_IT_number 12
_cell_length_a 9.395
_cell_length_b 8.157
_cell_length_c 4.956
_cell_angle_alpha 90.00
_cell_angle_beta 102.94
_cell_angle_gamma 90.00
loop_
_space_group_symop_operation_xyz
'x,y,z'
'-x,-y,-z'
'-x,y,-z'
'x,-y,z'
'x+1/2,y+1/2,z'
'-x+1/2,-y+1/2,-z'
'-x+1/2,y+1/2,-z'
'x+1/2,-y+1/2,z'
loop_
_atom_site_label
_atom_site_type_symbol
_atom_site_fract_x
_atom_site_fract_y
_atom_site_fract_z
V1 V 0.000 0.204 0.000
Pd1 Pd 0.000 0.000 0.500
Pd2 Pd 0.024 0.500 0.262
Pd3 Pd 0.232 0.175 0.750
Au1 Au 0.230 0.000 0.245
# energy of formation	0.09	eV per atom
# calculated volume	370.2	Å³ per cell

Entry 3:
# PBE Y2AgSnAu, relaxed
data_Y2AgSnAu
_space_group_name_H-M_alt 'P 4/m m m'
_space_group_IT_number 123
_space_group_name_Hall '-P 4 2'
_cell_length_a 5.563
_cell_length_b 5.563
_cell_length_c 5.067
_cell_angle_alpha 90.00
_cell_angle_beta 90.00
_cell_angle_gamma 90.00
loop_
_atom_site_label
_atom_site_type_symbol
_atom_site_fract_x
_atom_site_fract_y
_atom_site_fract_z
Y1 Y 0.000 0.500 0.000
Ag1 Ag 0.000 0.000 0.500
Sn1 Sn 0.500 0.500 0.500
Au1 Au 0.500 0.500 0.000
# energy of formation	0.06	eV per atom
# calculated volume	156.8	Å³ per cell

Entry 4:
# PBE Tb5Sc4Ir4, relaxed
data_Tb5Sc4Ir4
_space_group_name_H-M_alt 'I 4/m'
_space_group_IT_number 87
_space_group_name_Hall '-I 4'
_cell_length_a 11.678
_cell_length_b 11.678
_cell_length_c 4.349
_cell_angle_alpha 90.00
_cell_angle_beta 90.00
_cell_angle_gamma 90.00
loop_
_atom_site_label
_atom_site_type_symbol
_atom_site_fract_x
_atom_site_fract_y
_atom_site_fract_z
Tb1 Tb 0.000 0.000 0.000
Tb2 Tb 0.128 0.192 0.500
Sc1 Sc 0.094 0.607 0.500
Ir1 Ir 0.075 0.744 0.000
# energy of formation	-0.67	eV per atom
# calculated volume	593.1	Å³ per cell

What is the calculated volume in the fourth record?
593.1 Å³ per cell

Among the records above, which one has the lowest energy of formation?
Tb5Sc4Ir4